No. 1
An optimized crystal structure of SiTc2. Source: Alexandria, functional PBE.

Lattice parameters (Å, degrees): 6.7177 6.7177 4.4705 90.00 90.00 155.58
Closest atoms and distances in Å follow each position.
Fractional positions:
Si 0.2212 0.7788 0.7500  6 Tc 2.55-2.61, 6 Si 2.75-2.84
Si 0.7788 0.2212 0.2500  6 Tc 2.55-2.61, 6 Si 2.75-2.84
Tc 0.1180 0.8820 0.2500  4 Si 2.55-2.61, 8 Tc 2.70-2.84
Tc 0.4432 0.5568 0.2500  2 Si 2.58, 10 Tc 2.69-2.84
Tc 0.5568 0.4432 0.7500  2 Si 2.58, 10 Tc 2.69-2.84
Tc 0.8820 0.1180 0.7500  4 Si 2.55-2.61, 8 Tc 2.70-2.84

Values from the calculation:
The calculation puts the density of states at the Fermi level at 3.38 states/eV/cell. As for the polymorph energy (0 for the lowest one): 0.51 eV/f.u. The symmetry is No. 63. The formation energy without anion corrections comes out at -0.24 eV per atom. The calculation puts the total magnetization at 0.0 μB/f.u. As for the theoretical density: 8.924 g cm⁻³.

=====

No. 2
An optimized crystal structure of SiTc. Source: Alexandria, functional PBE.

Lattice parameters (Å, degrees): 3.8443 3.8443 3.8443 60.00 60.00 60.00
Closest atoms and distances in Å follow each position.
Fractional positions:
Si 0.0000 0.0000 0.0000  4 Tc 2.35
Tc 0.7500 0.7500 0.7500  4 Si 2.35

Values from the calculation:
The calculation puts the density of states at the Fermi level at 1.24 states/eV/cell. As for the polymorph energy (0 for the lowest one): 2.61 eV/f.u. The symmetry is No. 216. The formation energy without anion corrections comes out at 0.79 eV per atom. The calculation puts the total magnetization at 1.0 μB/f.u. As for the theoretical density: 5.212 g cm⁻³.

=====

No. 3
An optimized crystal structure of Si5Tc. Source: Alexandria, functional PBE.

Lattice parameters (Å, degrees): 6.1318 6.1318 3.3337 90.00 90.00 138.40
Closest atoms and distances in Å follow each position.
Fractional positions:
Si 0.0000 0.0000 0.0000  4 Si 2.37
Si 0.1473 0.8527 0.5000  4 Si 2.37-2.56
Si 0.3171 0.6829 0.0000  8 Si 2.56-2.77, 2 Tc 2.68
Si 0.6829 0.3171 0.0000  8 Si 2.56-2.77, 2 Tc 2.68
Si 0.8527 0.1473 0.5000  4 Si 2.37-2.56
Tc 0.5000 0.5000 0.5000  12 Si 2.68-2.76

Values from the calculation:
The calculation puts the density of states at the Fermi level at 1.93 states/eV/cell. As for the polymorph energy (0 for the lowest one): 0.39 eV/f.u. The symmetry is No. 65. The formation energy without anion corrections comes out at 0.22 eV per atom. The calculation puts the total magnetization at 0.0 μB/f.u. As for the theoretical density: 4.758 g cm⁻³.

=====

No. 4
An optimized crystal structure of SiTc. Source: Alexandria, functional PBE.

Lattice parameters (Å, degrees): 8.0339 8.0339 8.0339 20.64 20.64 20.64
Closest atoms and distances in Å follow each position.
Fractional positions:
Si 0.1246 0.1246 0.1246  3 Tc 2.51, 3 Si 2.59
Si 0.8754 0.8754 0.8754  3 Tc 2.51, 3 Si 2.59
Tc 0.3783 0.3783 0.3783  3 Si 2.51, 3 Tc 2.69
Tc 0.6217 0.6217 0.6217  3 Si 2.51, 3 Tc 2.69

Values from the calculation:
The calculation puts the density of states at the Fermi level at 2.37 states/eV/cell. As for the polymorph energy (0 for the lowest one): 0.85 eV/f.u. The symmetry is No. 166. The formation energy without anion corrections comes out at -0.09 eV per atom. The calculation puts the total magnetization at 0.0 μB/f.u. As for the theoretical density: 7.427 g cm⁻³.

=====

No. 5
An optimized crystal structure of SiTc2. Source: Alexandria, functional PBE.

Lattice parameters (Å, degrees): 4.0371 4.0371 4.0371 60.00 60.00 60.00
Closest atoms and distances in Å follow each position.
Fractional positions:
Si 0.0000 0.0000 0.0000  8 Tc 2.47
Tc 0.2500 0.2500 0.2500  4 Si 2.47
Tc 0.7500 0.7500 0.7500  4 Si 2.47

Values from the calculation:
The calculation puts the density of states at the Fermi level at 5.28 states/eV/cell. As for the polymorph energy (0 for the lowest one): 1.63 eV/f.u. The symmetry is No. 225. The formation energy without anion corrections comes out at 0.13 eV per atom. The calculation puts the total magnetization at 0.0 μB/f.u. As for the theoretical density: 7.998 g cm⁻³.

=====

No. 6
An optimized crystal structure of SiTc2. Source: Alexandria, functional PBE.

Lattice parameters (Å, degrees): 4.7722 4.7722 6.6335 108.74 108.74 35.52
Closest atoms and distances in Å follow each position.
Fractional positions:
Si 0.0244 0.0244 0.2893  9 Tc 2.54-2.71
Si 0.9756 0.9756 0.7107  9 Tc 2.54-2.71
Tc 0.3237 0.3237 0.3731  5 Si 2.54-2.64, 3 Tc 2.69-2.84
Tc 0.3543 0.3543 0.9615  5 Tc 2.52-2.69, 4 Si 2.64-2.71
Tc 0.6457 0.6457 0.0385  5 Tc 2.52-2.69, 4 Si 2.64-2.71
Tc 0.6763 0.6763 0.6269  5 Si 2.54-2.64, 3 Tc 2.69-2.84

Values from the calculation:
The calculation puts the density of states at the Fermi level at 2.94 states/eV/cell. As for the polymorph energy (0 for the lowest one): 0.20 eV/f.u. The symmetry is No. 12. The formation energy without anion corrections comes out at -0.34 eV per atom. The calculation puts the total magnetization at 0.0 μB/f.u. As for the theoretical density: 9.007 g cm⁻³.

=====

No. 7
An optimized crystal structure of Si3Tc4. Source: Alexandria, functional PBE.

Lattice parameters (Å, degrees): 10.3838 10.3838 10.3838 163.12 163.12 23.96
Closest atoms and distances in Å follow each position.
Fractional positions:
Si 0.0000 0.0000 0.0000  8 Tc 2.57
Si 0.2850 0.2850 0.0000  5 Tc 2.45-2.59, 4 Si 2.58
Si 0.7150 0.7150 0.0000  5 Tc 2.45-2.59, 4 Si 2.58
Tc 0.1574 0.1574 0.0000  5 Si 2.45-2.59
Tc 0.4308 0.4308 0.0000  4 Si 2.57, 5 Tc 2.80-2.81
Tc 0.5692 0.5692 0.0000  4 Si 2.57, 5 Tc 2.80-2.81
Tc 0.8426 0.8426 0.0000  5 Si 2.45-2.59

Values from the calculation:
The calculation puts the density of states at the Fermi level at 4.74 states/eV/cell. As for the polymorph energy (0 for the lowest one): 0.00 eV/f.u. The symmetry is No. 139. The formation energy without anion corrections comes out at -0.39 eV per atom. The calculation puts the total magnetization at 0.0 μB/f.u. As for the theoretical density: 8.379 g cm⁻³.

=====

No. 8
An optimized crystal structure of SiTc. Source: Alexandria, functional PBE.

Lattice parameters (Å, degrees): 4.2724 4.2724 7.6645 90.00 90.00 120.00
Closest atoms and distances in Å follow each position.
Fractional positions:
Si 0.3333 0.6667 0.0839  4 Si 2.55-2.78, 7 Tc 2.56-2.78
Si 0.3333 0.6667 0.4161  4 Si 2.55-2.78, 7 Tc 2.56-2.78
Si 0.6667 0.3333 0.5839  4 Si 2.55-2.78, 7 Tc 2.56-2.78
Si 0.6667 0.3333 0.9161  4 Si 2.55-2.78, 7 Tc 2.56-2.78
Tc 0.0000 0.0000 0.2500  3 Tc 2.47
Tc 0.0000 0.0000 0.7500  3 Tc 2.47
Tc 0.3333 0.6667 0.7500  3 Tc 2.47, 2 Si 2.56
Tc 0.6667 0.3333 0.2500  3 Tc 2.47, 2 Si 2.56

Values from the calculation:
The calculation puts the density of states at the Fermi level at 7.22 states/eV/cell. As for the polymorph energy (0 for the lowest one): 1.39 eV/f.u. The symmetry is No. 194. The formation energy without anion corrections comes out at 0.17 eV per atom. The calculation puts the total magnetization at 0.0 μB/f.u. As for the theoretical density: 6.912 g cm⁻³.

=====

No. 9
An optimized crystal structure of SiTc. Source: Alexandria, functional PBE.

Lattice parameters (Å, degrees): 4.1834 4.1834 4.1834 40.29 40.29 40.29
Closest atoms and distances in Å follow each position.
Fractional positions:
Si 0.0000 0.0000 0.0000  6 Tc 2.54
Tc 0.5000 0.5000 0.5000  6 Si 2.54

Values from the calculation:
The calculation puts the density of states at the Fermi level at 2.28 states/eV/cell. As for the polymorph energy (0 for the lowest one): 0.61 eV/f.u. The symmetry is No. 166. The formation energy without anion corrections comes out at -0.22 eV per atom. The calculation puts the total magnetization at 0.0 μB/f.u. As for the theoretical density: 7.587 g cm⁻³.

=====

No. 10
An optimized crystal structure of SiTc2. Source: Alexandria, functional PBE.

Lattice parameters (Å, degrees): 4.3498 2.9173 6.6351 90.00 100.85 90.00
Closest atoms and distances in Å follow each position.
Fractional positions:
Si 0.1508 0.2500 0.1539  7 Tc 2.50-2.66, 2 Si 2.65
Si 0.8492 0.7500 0.8461  7 Tc 2.50-2.66, 2 Si 2.65
Tc 0.2360 0.7500 0.4665  2 Si 2.51, 7 Tc 2.62-2.80
Tc 0.3303 0.2500 0.8172  5 Si 2.50-2.66, 2 Tc 2.71
Tc 0.6697 0.7500 0.1828  5 Si 2.50-2.66, 2 Tc 2.71
Tc 0.7640 0.2500 0.5335  2 Si 2.51, 7 Tc 2.62-2.80

Values from the calculation:
The calculation puts the density of states at the Fermi level at 5.43 states/eV/cell. As for the polymorph energy (0 for the lowest one): 0.24 eV/f.u. The symmetry is No. 11. The formation energy without anion corrections comes out at -0.33 eV per atom. The calculation puts the total magnetization at 0.0 μB/f.u. As for the theoretical density: 9.000 g cm⁻³.

=====

The highest polymorph energy (0 for the lowest one) belongs to which entry? number 2

=====

polymorph energy (0 for the lowest one) of number 2 (SiTc)? 2.61 eV/f.u.

=====

Which of these has the highest formation energy without anion corrections? number 2